No. 1
Computed, not measured: Ga2Pb4Br9 after structural relaxation at the PBE level of DFT.

Structure (POSCAR):
```
Ga2Pb4Br9
1.0
7.615 0.000 0.000
-3.765 7.109 0.000
-0.045 -1.327 20.883
Ga Pb Br
4 8 18
Direct
0.012 0.032 0.166
0.028 0.036 0.348
0.972 0.964 0.652
0.988 0.968 0.834
0.336 0.620 0.661
0.338 0.670 0.986
0.351 0.702 0.187
0.368 0.681 0.495
0.632 0.319 0.505
0.649 0.298 0.813
0.662 0.330 0.014
0.664 0.380 0.339
0.013 0.731 0.245
0.031 0.655 0.579
0.061 0.401 0.079
0.256 0.267 0.583
0.304 0.967 0.747
0.321 0.369 0.253
0.344 0.971 0.081
0.354 0.320 0.920
0.383 0.993 0.418
0.617 0.007 0.582
0.646 0.680 0.080
0.656 0.029 0.919
0.679 0.631 0.747
0.696 0.033 0.253
0.744 0.733 0.417
0.939 0.599 0.921
0.969 0.345 0.421
0.987 0.269 0.755
```

M_tot ... 0.00 μB/cell
Raw total energy ... -3.11 eV/atom

***

No. 2
Computed, not measured: Dy4Y3Pd4 after structural relaxation at the PBE level of DFT.

Structure (POSCAR):
```
Dy4Y3Pd4
1.0
-1.935 4.535 7.948
1.935 -4.535 7.948
1.935 4.535 -7.948
Dy Y Pd
4 3 4
Direct
0.024 0.837 0.186
0.349 0.163 0.186
0.651 0.837 0.814
0.976 0.163 0.814
0.000 0.500 0.500
0.394 0.394 0.000
0.606 0.606 0.000
0.247 0.747 0.500
0.322 0.000 0.322
0.678 0.000 0.678
0.753 0.253 0.500
```

E_form ... -57.0 kJ per mole of atoms
M_tot ... 0.00 μB/cell
Raw total energy ... -5.92 eV/atom